{"formula": "Li2AlVO4", "functional": "GGA+U", "state": "relaxed", "e_tot_ev_per_cell": -107.04, "lattice": [[6.3631, 0.0000, 0.0000], [0.0000, 5.5949, 0.0000], [0.0000, 0.0000, 4.9580]], "species": ["Li", "Li", "Li", "Li", "Al", "Al", "V", "V", "O", "O", "O", "O", "O", "O", "O", "O"], "fractional_positions": [[0.2492, 0.1663, 0.0000], [0.2508, 0.8337, 0.5000], [0.7492, 0.8337, 0.5000], [0.7508, 0.1663, 0.0000], [0.0000, 0.6722, 0.0077], [0.5000, 0.3278, 0.5077], [0.0000, 0.3336, 0.4989], [0.5000, 0.6664, 0.9989], [0.0000, 0.3679, 0.8940], [0.0000, 0.6589, 0.3686], [0.2352, 0.8210, 0.9052], [0.2648, 0.1790, 0.4052], [0.5000, 0.3411, 0.8686], [0.5000, 0.6321, 0.3940], [0.7352, 0.1790, 0.4052], [0.7648, 0.8210, 0.9052]]}